Here is Rb2TiZnPt after structural relaxation from Alexandria via LeMat-Bulk. Energies are from PBE.

Cell lengths 6.6220, 4.8936, 6.6220 Å; angles 90.00, 90.00, 90.00 degrees
Positions (direct):
Zn1 0.5000 0.5000 0.5000
Rb1 0.0000 0.0000 0.5000
Rb2 0.5000 0.0000 0.0000
Pt1 0.0000 0.0000 0.0000
Ti1 0.0000 0.5000 0.0000

Properties
For the total DFT energy (no corrections), the calculation gives -2.943 eV per atom. Its space group is P4/mmm (123). The total magnetic moment is 0.493 μB per atom.